A plane-wave DFT calculation with PBE+U was carried out for a relaxed structure of LiMnVO4.

The space group is Cmcm (No. 63) and the conventional cell measures 5.855, 8.836 and 6.426 Å, with angles of 90.00, 90.00 and 90.00 degrees. The inequivalent atoms are Li at (0.000, 0.162, 0.250), Mn at (0.000, 0.500, 0.000), V at (0.000, 0.144, 0.750), O at (0.000, 0.256, 0.530) and O at (0.239, 0.020, 0.750).

The value obtained for the total magnetic moment is 5.0 μB/f.u. The uncorrected energy comes out at -201.9 eV/cell. As for the energy above the most stable polymorph in this dataset: 0 meV per atom.